Entry 1:
Here is a geometry-optimized ScNiTe2 structure from Alexandria via LeMat-Bulk. Energies are from PBE.

Calculated values
- energy (eV/atom) = -4.879
- N(E_F) (states/eV per atom) = 2.622
- symmetry = Fm-3m (225)

abc: 7.0010 7.0010 7.0010
angles: 90.00 90.00 90.00
Last column: nearest neighbours and their distance in Å.
Element x y z (fractional)
Sc (0.0000, 0.0000, 0.0000)  8 Te 3.03
Sc (0.0000, 0.5000, 0.5000)  8 Te 3.03
Sc (0.5000, 0.0000, 0.5000)  8 Te 3.03
Sc (0.5000, 0.5000, 0.0000)  8 Te 3.03
Ni (0.0000, 0.0000, 0.5000)  8 Te 3.03
Ni (0.0000, 0.5000, 0.0000)  8 Te 3.03
Ni (0.5000, 0.0000, 0.0000)  8 Te 3.03
Ni (0.5000, 0.5000, 0.5000)  8 Te 3.03
Te (0.2500, 0.2500, 0.2500)  4 Ni 3.03, 4 Sc 3.03
Te (0.2500, 0.2500, 0.7500)  4 Ni 3.03, 4 Sc 3.03
Te (0.2500, 0.7500, 0.2500)  4 Ni 3.03, 4 Sc 3.03
Te (0.2500, 0.7500, 0.7500)  4 Ni 3.03, 4 Sc 3.03
Te (0.7500, 0.2500, 0.2500)  4 Ni 3.03, 4 Sc 3.03
Te (0.7500, 0.2500, 0.7500)  4 Ni 3.03, 4 Sc 3.03
Te (0.7500, 0.7500, 0.2500)  4 Ni 3.03, 4 Sc 3.03
Te (0.7500, 0.7500, 0.7500)  4 Sc 3.03, 4 Ni 3.03

***

Entry 2:
Here is a geometry-optimized ScNiTe2 structure from Alexandria via LeMat-Bulk. Energies are from PBE.

Calculated values
- energy (eV/atom) = -4.915
- N(E_F) (states/eV per atom) = 0.714
- symmetry = I-4m2 (119)

abc: 3.9987 3.9987 10.7189
angles: 90.00 90.00 90.00
Last column: nearest neighbours and their distance in Å.
Element x y z (fractional)
Sc (0.0000, 0.0000, 0.0000)  4 Te 2.83
Sc (0.5000, 0.5000, 0.5000)  4 Te 2.83
Ni (0.0000, 0.5000, 0.2500)  4 Te 2.83
Ni (0.5000, 0.0000, 0.7500)  4 Te 2.83
Te (0.0000, 0.0000, 0.5000)  4 Sc 2.83
Te (0.0000, 0.5000, 0.7500)  4 Ni 2.83
Te (0.5000, 0.0000, 0.2500)  4 Ni 2.83
Te (0.5000, 0.5000, 0.0000)  4 Sc 2.83

***

Entry 3:
Here is a geometry-optimized Sc2Ni2Te structure from Alexandria via LeMat-Bulk. Energies are from PBE.

Calculated values
- energy (eV/atom) = -5.815
- N(E_F) (states/eV per atom) = 0.267
- symmetry = I4/mmm (139)

abc: 4.4042 4.4042 9.9579
angles: 90.00 90.00 90.00
Last column: nearest neighbours and their distance in Å.
Element x y z (fractional)
Sc (0.0000, 0.5000, 0.2500)  4 Ni 2.58
Sc (0.0000, 0.5000, 0.7500)  4 Ni 2.58
Sc (0.5000, 0.0000, 0.2500)  4 Ni 2.58
Sc (0.5000, 0.0000, 0.7500)  4 Ni 2.58
Ni (0.0000, 0.0000, 0.1145)  1 Ni 2.28
Ni (0.0000, 0.0000, 0.8855)  1 Ni 2.28
Ni (0.5000, 0.5000, 0.3855)  1 Ni 2.28
Ni (0.5000, 0.5000, 0.6145)  1 Ni 2.28
Te (0.0000, 0.0000, 0.5000)  8 Ni 3.32, 8 Sc 3.32
Te (0.5000, 0.5000, 0.0000)  8 Ni 3.32, 8 Sc 3.32

***

Entry 4:
Here is a geometry-optimized Sc2NiTe structure from Alexandria via LeMat-Bulk. Energies are from PBE.

Calculated values
- energy (eV/atom) = -5.896
- N(E_F) (states/eV per atom) = 0.689
- symmetry = I-4m2 (119)

abc: 3.9841 3.9841 9.8672
angles: 90.00 90.00 90.00
Last column: nearest neighbours and their distance in Å.
Element x y z (fractional)
Sc (0.0000, 0.0000, 0.0000)  4 Ni 2.82
Sc (0.0000, 0.5000, 0.2500)  4 Te 2.82
Sc (0.5000, 0.0000, 0.7500)  4 Te 2.82
Sc (0.5000, 0.5000, 0.5000)  4 Ni 2.82
Ni (0.0000, 0.0000, 0.5000)  4 Sc 2.82
Ni (0.5000, 0.5000, 0.0000)  4 Sc 2.82
Te (0.0000, 0.5000, 0.7500)  4 Sc 2.82
Te (0.5000, 0.0000, 0.2500)  4 Sc 2.82

***

Number 1: E_form (uncorrected) -27 kJ per mole of atoms. Number 2: E_form (uncorrected) -31 kJ per mole of atoms. Number 3: E_form (uncorrected) -33 kJ per mole of atoms. Number 4: E_form (uncorrected) -48 kJ per mole of atoms.